# Nd3Te

A relaxed structure of Nd3Te (GGA-PBE, the Alexandria database).

Calculated values
size of the total moment: 0.000 μB/atom
excess energy over the best structure of this formula in the dataset: 117.4 meV per atom
DOS(E_F): 1.135 states/eV/atom
calculated total energy: -19.792 eV per cell
raw formation energy: -0.59 eV per atom

abc: 3.941 6.150 6.427
angles: 118.59 107.85 90.00
Fractional coordinates of all 4 atoms:
Te 0.000 0.043 0.000
Nd 0.281 0.616 0.561
Nd 0.500 0.454 0.000
Nd 0.719 0.055 0.439